Y4ScIn PBE relaxed; calculated formation energy = -9 kJ/mol of atoms; symmetry = P2_1/m, No. 11; VASP energy = -5.92 eV per atom; calculated volume = 354.55 Å³ per cell; theoretical density = 4.83 Mg/m³; size of the total moment = 0.0 μB per cell
1.0
-3.796 4.770 -1.713
-4.889 -3.862 5.886
2.673 3.826 4.730
Y Sc In
8 2 2
direct
0.330 0.542 0.750
0.670 0.458 0.250
0.419 0.158 0.750
0.581 0.842 0.250
0.085 0.816 0.002
0.915 0.184 0.502
0.085 0.816 0.498
0.915 0.184 0.998
0.825 0.507 0.750
0.175 0.493 0.250
0.654 0.862 0.750
0.346 0.138 0.250

Y2ScIn PBE relaxed; calculated formation energy = -25 kJ/mol of atoms; symmetry = Imm2, No. 44; VASP energy = -5.76 eV per atom; calculated volume = 111.00 Å³ per cell; theoretical density = 5.05 Mg/m³; size of the total moment = 0.0 μB per cell
1.0
6.482 0.020 0.026
5.391 3.600 0.026
2.130 0.650 4.787
Y Sc In
2 1 1
direct
0.995 0.995 0.004
0.773 0.773 0.727
0.222 0.222 0.278
0.509 0.509 0.490